1.
GGA-PBE AgP2, relaxed; SG = C2/m (12); energy relative to the elements = 0.30 eV per atom
1.0
1.338 6.041 -0.089
-1.338 6.041 -0.089
0.000 2.038 7.086
Ag P
2 4
Cartesian
0.000 1.814 1.645
0.000 12.306 5.264
0.000 5.709 2.481
0.000 9.860 5.964
0.000 4.260 0.945
0.000 8.411 4.427

2.
GGA-PBE PmNpHg2O6, relaxed; SG = R-3 (148)
1.0
5.915 0.000 0.000
2.958 5.122 0.000
2.958 1.708 5.174
Pm Np Hg O
1 1 2 6
Cartesian
8.873 5.123 2.854
2.958 1.707 0.267
5.916 3.415 1.611
2.958 1.708 4.097
4.679 1.506 1.509
4.880 5.439 1.509
8.187 3.299 1.510
6.951 4.805 4.199
6.602 1.824 4.198
4.194 3.617 4.199

The DFT total energy results, record by record, are as follows: -4.255, -6.766 eV per atom.